Entry 1:
Here is a relaxed structure of CoTe2AsI from Alexandria. Energies are from GGA-PBE.

Summary:
uncorrected formation energy	492	kJ/mol of formula units
symmetry	No. 123
calculated total energy	-2.90	eV per atom

Cell lengths 5.5096, 5.5096, 5.4800 Å; angles 90.00, 90.00, 90.00 degrees
With the nearest neighbours (Å) after each atom.
Fractional positions:
Co: 0.0000 0.0000 0.0000  8 Te 3.89, 4 I 3.90
Te: 0.0000 0.5000 0.5000  2 As 2.75
Te: 0.5000 0.0000 0.5000  2 As 2.75
As: 0.5000 0.5000 0.5000  2 I 2.74, 4 Te 2.75
I: 0.5000 0.5000 0.0000  2 As 2.74



Entry 2:
Here is a relaxed structure of YCoAs2I from Alexandria. Energies are from GGA-PBE.

Summary:
uncorrected formation energy	-142	kJ/mol of formula units
symmetry	No. 123
calculated total energy	-5.18	eV per atom

Cell lengths 4.4589, 4.4589, 5.8272 Å; angles 90.00, 90.00, 90.00 degrees
With the nearest neighbours (Å) after each atom.
Fractional positions:
Y: 0.0000 0.0000 0.0000  2 Co 2.91, 4 I 3.15
Co: 0.0000 0.0000 0.5000  4 As 2.23
As: 0.0000 0.5000 0.5000  2 Co 2.23
As: 0.5000 0.0000 0.5000  2 Co 2.23
I: 0.5000 0.5000 0.0000  4 Y 3.15



Entry 3:
Here is a relaxed structure of InCo2As2 from Alexandria. Energies are from GGA-PBE.

Summary:
symmetry	No. 139
energy relative to the elements	12	kJ per mole of atoms
calculated total energy	-5.12	eV per atom

Cell lengths 6.2427, 6.2427, 6.2427 Å; angles 144.40, 144.40, 51.22 degrees
With the nearest neighbours (Å) after each atom.
Fractional positions:
In: 0.0000 0.0000 0.0000  8 Co 3.00
Co: 0.3835 0.3835 0.0000  4 As 2.43, 1 Co 2.62
Co: 0.6165 0.6165 0.0000  4 As 2.43, 1 Co 2.62
As: 0.2500 0.7500 0.5000  4 Co 2.43, 4 As 2.70
As: 0.7500 0.2500 0.5000  4 Co 2.43, 4 As 2.70



Entry 4:
Here is a relaxed structure of InCoAs from Alexandria. Energies are from GGA-PBE.

Summary:
symmetry	No. 4
energy relative to the elements	-10	kJ per mole of atoms
calculated total energy	-4.94	eV per atom

Cell lengths 6.5812, 6.1505, 6.5814 Å; angles 90.00, 118.32, 90.00 degrees
With the nearest neighbours (Å) after each atom.
Fractional positions:
In: 0.1413 0.0000 0.1088  3 Co 2.60-2.67
In: 0.3594 0.4997 0.3908  3 Co 2.60-2.66
In: 0.6406 0.9997 0.6092  3 Co 2.60-2.66
In: 0.8587 0.5000 0.8912  3 Co 2.60-2.67
Co: 0.0289 0.2171 0.7194  3 As 2.25-2.26
Co: 0.4690 0.7167 0.7794  3 As 2.25-2.27
Co: 0.5310 0.2167 0.2206  3 As 2.25-2.27
Co: 0.9711 0.7171 0.2806  3 As 2.25-2.26
As: 0.1427 0.9131 0.6072  3 Co 2.25-2.26
As: 0.3566 0.4121 0.8933  3 Co 2.25-2.27
As: 0.6434 0.9121 0.1067  3 Co 2.25-2.27
As: 0.8573 0.4131 0.3928  3 Co 2.25-2.26



Entry 5:
Here is a relaxed structure of InCoAs from Alexandria. Energies are from GGA-PBE.

Summary:
symmetry	No. 187
energy relative to the elements	10	kJ per mole of atoms
calculated total energy	-4.73	eV per atom

Cell lengths 3.9803, 3.9803, 3.9449 Å; angles 90.00, 90.00, 120.00 degrees
With the nearest neighbours (Å) after each atom.
Fractional positions:
In: 0.0000 0.0000 0.0000  6 Co 3.03, 6 As 3.03
Co: 0.3333 0.6667 0.5000  3 As 2.30
As: 0.6667 0.3333 0.5000  3 Co 2.30



Entry 6:
Here is a relaxed structure of In2CoAs2 from Alexandria. Energies are from GGA-PBE.

Summary:
symmetry	No. 127
energy relative to the elements	2	kJ per mole of atoms
calculated total energy	-4.36	eV per atom

Cell lengths 6.0387, 6.0387, 5.8137 Å; angles 90.00, 90.00, 90.00 degrees
With the nearest neighbours (Å) after each atom.
Fractional positions:
In: 0.1995 0.3005 0.0000  5 In 3.08-3.41, 2 As 3.19
In: 0.3005 0.8005 0.0000  5 In 3.08-3.41, 2 As 3.19
In: 0.6995 0.1995 0.0000  5 In 3.08-3.41, 2 As 3.19
In: 0.8005 0.6995 0.0000  5 In 3.08-3.41, 2 As 3.19
Co: 0.0000 0.0000 0.5000  4 As 2.31
Co: 0.5000 0.5000 0.5000  4 As 2.31
As: 0.1457 0.6457 0.5000  2 Co 2.31, 1 As 2.49
As: 0.3543 0.1457 0.5000  2 Co 2.31, 1 As 2.49
As: 0.6457 0.8543 0.5000  2 Co 2.31, 1 As 2.49
As: 0.8543 0.3543 0.5000  2 Co 2.31, 1 As 2.49



Entry 7:
Here is a relaxed structure of In2CoAs2 from Alexandria. Energies are from GGA-PBE.

Summary:
symmetry	No. 139
energy relative to the elements	62	kJ per mole of atoms
calculated total energy	-3.74	eV per atom

Cell lengths 8.0482, 8.0482, 8.0482 Å; angles 151.68, 151.68, 40.48 degrees
With the nearest neighbours (Å) after each atom.
Fractional positions:
In: 0.2500 0.7500 0.5000  4 In 2.78
In: 0.7500 0.2500 0.5000  4 In 2.78
Co: 0.0000 0.0000 0.0000  8 As 3.03
As: 0.4214 0.4214 0.0000  1 As 2.37
As: 0.5786 0.5786 0.0000  1 As 2.37



Entry 8:
Here is a relaxed structure of InCo2As2 from Alexandria. Energies are from GGA-PBE.

Summary:
symmetry	No. 127
energy relative to the elements	11	kJ per mole of atoms
calculated total energy	-5.13	eV per atom

Cell lengths 7.2649, 7.2649, 2.9698 Å; angles 90.00, 90.00, 90.00 degrees
With the nearest neighbours (Å) after each atom.
Fractional positions:
In: 0.0000 0.0000 0.0000  4 Co 2.85, 2 In 2.97, 8 As 3.16
In: 0.5000 0.5000 0.0000  4 Co 2.85, 2 In 2.97, 8 As 3.16
Co: 0.1292 0.3708 0.0000  6 As 2.49-2.75, 1 Co 2.66
Co: 0.3708 0.8708 0.0000  6 As 2.49-2.75, 1 Co 2.66
Co: 0.6292 0.1292 0.0000  6 As 2.49-2.75, 1 Co 2.66
Co: 0.8708 0.6292 0.0000  6 As 2.49-2.75, 1 Co 2.66
As: 0.1450 0.6450 0.5000  6 Co 2.49-2.75
As: 0.3550 0.1450 0.5000  6 Co 2.49-2.75
As: 0.6450 0.8550 0.5000  6 Co 2.49-2.75
As: 0.8550 0.3550 0.5000  6 Co 2.49-2.75



Entry 9:
Here is a relaxed structure of In3CoAs from Alexandria. Energies are from GGA-PBE.

Summary:
symmetry	No. 221
energy relative to the elements	27	kJ per mole of atoms
calculated total energy	-3.72	eV per atom

Cell lengths 4.9256, 4.9256, 4.9256 Å; angles 90.00, 90.00, 90.00 degrees
With the nearest neighbours (Å) after each atom.
Fractional positions:
In: 0.0000 0.0000 0.5000  2 Co 2.46
In: 0.0000 0.5000 0.0000  2 Co 2.46
In: 0.5000 0.0000 0.0000  2 Co 2.46
Co: 0.0000 0.0000 0.0000  6 In 2.46
As: 0.5000 0.5000 0.5000  12 In 3.48



Entry 10:
Here is a relaxed structure of InCoAs from Alexandria. Energies are from GGA-PBE.

Summary:
symmetry	No. 156
energy relative to the elements	2	kJ per mole of atoms
calculated total energy	-4.81	eV per atom

Cell lengths 3.2443, 3.2443, 5.8816 Å; angles 90.00, 90.00, 120.00 degrees
With the nearest neighbours (Å) after each atom.
Fractional positions:
In: 0.0000 0.0000 0.0000  3 Co 2.73
Co: 0.6667 0.3333 0.6624  3 As 2.31
As: 0.3333 0.6667 0.4323  3 Co 2.31



Entry 11:
Here is a relaxed structure of InCo2As2 from Alexandria. Energies are from GGA-PBE.

Summary:
symmetry	No. 139
energy relative to the elements	-3	kJ per mole of atoms
calculated total energy	-5.28	eV per atom

Cell lengths 5.6605, 5.6605, 5.6605 Å; angles 137.14, 137.14, 62.22 degrees
With the nearest neighbours (Å) after each atom.
Fractional positions:
In: 0.0000 0.0000 0.0000  8 Co 3.19, 10 As 3.21-3.53
Co: 0.2500 0.7500 0.5000  4 As 2.35
Co: 0.7500 0.2500 0.5000  4 As 2.35
As: 0.3646 0.3646 0.0000  4 Co 2.35, 1 As 2.62
As: 0.6354 0.6354 0.0000  4 Co 2.35, 1 As 2.62



Entry 12:
Here is a relaxed structure of InCoAs from Alexandria. Energies are from GGA-PBE.

Summary:
symmetry	No. 107
energy relative to the elements	3	kJ per mole of atoms
calculated total energy	-4.80	eV per atom

Cell lengths 6.4478, 6.4478, 6.4478 Å; angles 153.37, 153.37, 38.01 degrees
With the nearest neighbours (Å) after each atom.
Fractional positions:
In: 0.0000 0.0000 0.0000  4 Co 2.86, 4 In 2.97
Co: 0.6592 0.6592 0.0000  4 As 2.45
As: 0.2628 0.2628 0.0000  4 Co 2.45



Entry 13:
Here is a relaxed structure of In3CoAs from Alexandria. Energies are from GGA-PBE.

Summary:
symmetry	No. 221
energy relative to the elements	89	kJ per mole of atoms
calculated total energy	-3.07	eV per atom

Cell lengths 5.3634, 5.3634, 5.3634 Å; angles 90.00, 90.00, 90.00 degrees
With the nearest neighbours (Å) after each atom.
Fractional positions:
In: 0.0000 0.0000 0.5000  2 As 2.68
In: 0.0000 0.5000 0.0000  2 As 2.68
In: 0.5000 0.0000 0.0000  2 As 2.68
Co: 0.5000 0.5000 0.5000  12 In 3.79
As: 0.0000 0.0000 0.0000  6 In 2.68



Entry 14:
Here is a relaxed structure of MgIn2CoAs from Alexandria. Energies are from GGA-PBE.

Summary:
symmetry	No. 123
energy relative to the elements	43	kJ per mole of atoms
calculated total energy	-3.32	eV per atom

Cell lengths 5.4555, 5.4555, 4.3453 Å; angles 90.00, 90.00, 90.00 degrees
With the nearest neighbours (Å) after each atom.
Fractional positions:
Mg: 0.0000 0.0000 0.0000  8 In 3.49, 4 Co 3.86
In: 0.0000 0.5000 0.5000  2 As 2.73
In: 0.5000 0.0000 0.5000  2 As 2.73
Co: 0.5000 0.5000 0.0000  2 As 2.17
As: 0.5000 0.5000 0.5000  2 Co 2.17



Entry 15:
Here is a relaxed structure of Nb2InCoAs from Alexandria. Energies are from GGA-PBE.

Summary:
symmetry	No. 123
energy relative to the elements	120	kJ per mole of atoms
calculated total energy	-5.68	eV per atom

Cell lengths 4.7455, 4.7455, 4.9926 Å; angles 90.00, 90.00, 90.00 degrees
With the nearest neighbours (Å) after each atom.
Fractional positions:
Nb: 0.0000 0.5000 0.0000  2 As 2.37
Nb: 0.5000 0.0000 0.0000  2 As 2.37
In: 0.0000 0.0000 0.5000  2 As 2.50
Co: 0.5000 0.5000 0.5000  4 In 3.36, 8 Nb 3.44
As: 0.0000 0.0000 0.0000  4 Nb 2.37, 2 In 2.50